[1]
Density functional theory data (SCAN) for a crystal of CaTiSiCl2 relaxed with PBEsol.

Summary:
ΔE_f (raw)   -0.88 eV per atom
N(E_F)   2.48 states/eV per cell
Space-group type   P4/mmm, No. 123
Raw total energy   -56.04 eV per cell

Structure (POSCAR):
```
CaTiSiCl2
1.0
4.663 0.000 0.000
0.000 4.663 0.000
0.000 0.000 5.125
Ca Ti Si Cl
1 1 1 2
Cartesian
0.000 0.000 0.000 Ca
2.332 2.332 2.562 Ti
2.332 2.332 0.000 Si
0.000 2.332 2.562 Cl
2.332 0.000 2.562 Cl
```

***

[2]
Density functional theory data (SCAN) for a crystal of SiHgOF2 relaxed with PBEsol.

Summary:
ΔE_f (raw)   -0.21 eV per atom
N(E_F)   1.81 states/eV per cell
Space-group type   P4/mmm, No. 123
Raw total energy   -92.54 eV per cell
Distance to the lowest polymorph of the same formula   1290 meV/atom

Structure (POSCAR):
```
SiHgOF2
1.0
4.430 0.000 0.000
0.000 4.430 0.000
0.000 0.000 4.166
Si Hg O F
1 1 1 2
Cartesian
0.000 0.000 0.000 Si
2.215 2.215 2.083 Hg
2.215 2.215 0.000 O
0.000 2.215 2.083 F
2.215 0.000 2.083 F
```

***

[3]
Density functional theory data (SCAN) for a crystal of Sr8Cu8O17 relaxed with PBEsol.

Summary:
ΔE_f (raw)   -1.90 eV per atom
N(E_F)   4.89 states/eV per cell
Space-group type   C2/m, No. 12
Raw total energy   -468.33 eV per cell

Structure (POSCAR):
```
Sr8Cu8O17
1.0
7.754 -3.870 0.000
7.754 3.870 0.000
-3.873 0.000 7.014
Sr Cu O
8 8 17
Cartesian
3.877 1.935 0.000 Sr
3.957 1.854 3.507 Sr
7.754 1.951 0.000 Sr
7.679 1.854 3.507 Sr
3.877 -1.935 0.000 Sr
3.957 -1.854 3.507 Sr
7.754 -1.951 0.000 Sr
7.679 -1.854 3.507 Sr
-1.933 0.000 5.336 Cu
1.910 0.000 1.726 Cu
1.911 0.000 5.302 Cu
5.821 0.000 1.664 Cu
5.815 0.000 5.350 Cu
9.725 0.000 1.713 Cu
9.726 0.000 5.289 Cu
13.569 0.000 1.678 Cu
1.942 1.936 5.223 O
-0.023 0.000 1.782 O
5.816 1.974 1.621 O
-0.018 0.000 5.230 O
3.803 0.000 1.641 O
5.819 1.974 5.393 O
3.801 0.000 5.376 O
9.694 1.936 1.791 O
5.818 0.000 3.507 O
1.942 -1.936 5.223 O
7.835 0.000 1.638 O
5.816 -1.974 1.621 O
7.833 0.000 5.373 O
11.654 0.000 1.785 O
5.819 -1.974 5.393 O
11.658 0.000 5.232 O
9.694 -1.936 1.791 O
```

***

no.,density (g/cm3)
1,2.8
2,5.7
3,5.8